Record 1
Density functional theory data (GGA-PBE) for crystalline BeZn3Pd4 at its relaxed geometry.

Calculated values
Energy of formation: -0.5629 eV per atom
Space group: P4/mmm, No. 123
Volume: 13.68 A^3/atom
Mass density: 9.572 g cm⁻³
Total magnetization: 0.0 μB per cell

a = 2.8515 Å, b = 2.8515 Å, c = 13.4604 Å
α = 90.00°, β = 90.00°, γ = 90.00°
Last column: nearest neighbours and their distance in Å.
Fractional positions:
Be (0.0000, 0.0000, 0.0000)  8 Pd 2.46
Zn (0.0000, 0.0000, 0.2386)  8 Pd 2.67-2.70, 4 Zn 2.85
Zn (0.0000, 0.0000, 0.5000)  8 Pd 2.68, 4 Zn 2.85
Zn (0.0000, 0.0000, 0.7614)  8 Pd 2.67-2.70, 4 Zn 2.85
Pd (0.5000, 0.5000, 0.1049)  4 Be 2.46, 4 Zn 2.70
Pd (0.5000, 0.5000, 0.3690)  8 Zn 2.67-2.68, 4 Pd 2.85
Pd (0.5000, 0.5000, 0.6310)  8 Zn 2.67-2.68, 4 Pd 2.85
Pd (0.5000, 0.5000, 0.8951)  4 Be 2.46, 4 Zn 2.70

=====

Record 2
Density functional theory data (GGA-PBE) for crystalline CuSb2AsI at its relaxed geometry.

Calculated values
Formation energy (no corrections): 0.94 eV per atom
Space group: P4/mmm, No. 123
Volume: 32.81 A^3/atom
Mass density: 5.152 g cm⁻³
Total magnetization: 0.7 μB per cell

a = 5.4362 Å, b = 5.4362 Å, c = 5.5504 Å
α = 90.00°, β = 90.00°, γ = 90.00°
Last column: nearest neighbours and their distance in Å.
Fractional positions:
Cu (0.0000, 0.0000, 0.0000)  4 I 3.84, 8 Sb 3.88
Sb (0.0000, 0.5000, 0.5000)  2 As 2.72
Sb (0.5000, 0.0000, 0.5000)  2 As 2.72
As (0.5000, 0.5000, 0.5000)  4 Sb 2.72, 2 I 2.78
I (0.5000, 0.5000, 0.0000)  2 As 2.78

=====

Record 3
Density functional theory data (GGA-PBE) for crystalline SrLiGaCu at its relaxed geometry.

Calculated values
Energy of formation: -0.2584 eV per atom
Space group: R3m, No. 160
Volume: 22.38 A^3/atom
Mass density: 4.226 g cm⁻³
Total magnetization: 0.0 μB per cell

a = 5.9774 Å, b = 5.9774 Å, c = 5.9774 Å
α = 42.86°, β = 42.86°, γ = 42.86°
Last column: nearest neighbours and their distance in Å.
Fractional positions:
Sr (0.0000, 0.0000, 0.0000)  4 Li 3.11-3.42, 4 Cu 3.19-3.37, 3 Ga 3.48
Li (0.1913, 0.1913, 0.1913)  3 Ga 2.62, 3 Cu 2.67
Ga (0.4807, 0.4807, 0.4807)  3 Cu 2.53, 3 Li 2.62
Cu (0.8038, 0.8038, 0.8038)  3 Ga 2.53, 3 Li 2.67

=====

Record 4
Density functional theory data (GGA-PBE) for crystalline SnPW3 at its relaxed geometry.

Calculated values
Energy of formation: 0.8358 eV per atom
Space group: Pm-3m, No. 221
Volume: 18.18 A^3/atom
Mass density: 12.811 g cm⁻³
Total magnetization: 0.0 μB per cell

a = 4.4961 Å, b = 4.4961 Å, c = 4.4961 Å
α = 90.00°, β = 90.00°, γ = 90.00°
Last column: nearest neighbours and their distance in Å.
Fractional positions:
Sn (0.0000, 0.0000, 0.0000)  12 W 3.18
P (0.5000, 0.5000, 0.5000)  6 W 2.25
W (0.0000, 0.5000, 0.5000)  2 P 2.25
W (0.5000, 0.0000, 0.5000)  2 P 2.25
W (0.5000, 0.5000, 0.0000)  2 P 2.25

=====

Question: volume of number 3 (SrLiGaCu)?
Answer: 22.38 A^3/atom